Density functional theory data (GGA-PBEsol) for a relaxed structure of PrAl2Ga2.

Calculated values
The calculation puts the formation energy at -0.481 eV per atom. The value obtained for the total energy is -4.491 eV per atom.

Cell lengths 4.1647, 4.1647, 6.3275 Å; angles 109.21, 109.21, 90.00 degrees
Fractional positions:
Ga 0.3892 0.3892 0.7785
Ga 0.6108 0.6108 0.2215
Al 0.2500 0.7500 0.5000
Al 0.7500 0.2500 0.5000
Pr 0.0000 0.0000 0.0000

***

Density functional theory data (GGA-PBEsol) for a relaxed structure of Ba2Li2Mg.

Calculated values
The calculation puts the formation energy at 0.054 eV per atom. The value obtained for the relative energy among the computed polymorphs is 11.7 meV/atom. The value obtained for the total energy is -1.936 eV per atom.

Cell lengths 4.1633, 4.1633, 11.0587 Å; angles 100.85, 100.85, 90.00 degrees
Fractional positions:
Ba 0.3974 0.3974 0.7947
Ba 0.6026 0.6026 0.2053
Li 0.2500 0.7500 0.5000
Li 0.7500 0.2500 0.5000
Mg 0.0000 0.0000 0.0000

***

Density functional theory data (GGA-PBEsol) for a relaxed structure of MgAl2Au.

Calculated values
The calculation puts the formation energy at -0.215 eV per atom. The value obtained for the total energy is -3.671 eV per atom.

Cell lengths 3.4453, 3.4453, 5.7703 Å; angles 90.00, 90.00, 90.00 degrees
Fractional positions:
Al 0.0000 0.0000 0.0137
Al 0.5000 0.5000 0.2525
Au 0.0000 0.0000 0.4900
Mg 0.5000 0.5000 0.7438

***

Density functional theory data (GGA-PBEsol) for a relaxed structure of ScTa2Ag.

Calculated values
The calculation puts the formation energy at 0.146 eV per atom. The value obtained for the relative energy among the computed polymorphs is 19.0 meV/atom. The value obtained for the total energy is -8.609 eV per atom.

Cell lengths 3.2306, 4.5325, 5.7289 Å; angles 113.30, 106.38, 90.00 degrees
Fractional positions:
Ag 0.5000 0.0000 0.0000
Ta 0.7613 0.7613 0.5226
Ta 0.2387 0.2387 0.4774
Sc 0.0000 0.5000 0.0000

***

Density functional theory data (GGA-PBEsol) for a relaxed structure of K2TcBr.

Calculated values
The value obtained for the relative energy among the computed polymorphs is 143.1 meV/atom. The value obtained for the total energy is -3.249 eV per atom.

Cell lengths 3.4340, 5.9272, 5.9272 Å; angles 100.12, 90.00, 90.00 degrees
Each line ends with the local moment (μB).
Fractional positions:
K 0.0000 0.5000 0.0000  0.01
K 0.0000 0.0000 0.5000  0.01
Br 0.5000 0.5000 0.5000  0.03
Tc 0.5000 0.0000 0.0000  3.07

***

Density functional theory data (GGA-PBEsol) for a relaxed structure of Mn3TlRh.

Calculated values
The calculation puts the formation energy at 1.913 eV per atom. The value obtained for the total energy is -6.097 eV per atom.

Cell lengths 4.8487, 4.8487, 4.8487 Å; angles 90.00, 90.00, 90.00 degrees
Each line ends with the local moment (μB).
Fractional positions:
Mn 0.5000 0.0000 0.0000  3.94
Mn 0.0000 0.5000 0.0000  3.94
Mn 0.0000 0.0000 0.5000  3.94
Tl 0.0000 0.0000 0.0000  -0.11
Rh 0.5000 0.5000 0.5000  0.27

***

Density functional theory data (GGA-PBEsol) for a relaxed structure of In3AgOs.

Calculated values
The calculation puts the formation energy at 0.511 eV per atom. The value obtained for the total energy is -4.384 eV per atom.

Cell lengths 5.0838, 5.0838, 5.0838 Å; angles 90.00, 90.00, 90.00 degrees
Fractional positions:
Os 0.0000 0.0000 0.0000
In 0.0000 0.0000 0.5000
In 0.5000 0.0000 0.0000
In 0.0000 0.5000 0.0000
Ag 0.5000 0.5000 0.5000

***

Density functional theory data (GGA-PBEsol) for a relaxed structure of Sr2CrSbO6.

Calculated values
The value obtained for the total energy is -7.289 eV per atom.

Cell lengths 5.5446, 5.5506, 5.5560 Å; angles 60.66, 60.07, 60.04 degrees
Each line ends with the local moment (μB).
Fractional positions:
Sr 0.7492 0.7470 0.7547  0.01
Sr 0.2508 0.2530 0.2453  0.01
O 0.2815 0.7179 0.2175  0.01
O 0.7507 0.1893 0.3093  0.01
O 0.7832 0.7179 0.2175  0.01
O 0.2493 0.8107 0.6907  0.01
O 0.7185 0.2821 0.7825  0.01
O 0.2168 0.2821 0.7825  0.01
Sb 0.5000 0.5000 0.5000  0.01
Cr 0.0000 0.0000 0.0000  2.72

***

Density functional theory data (GGA-PBEsol) for a relaxed structure of AlHgSe.

Calculated values
The value obtained for the relative energy among the computed polymorphs is 162.3 meV/atom. The value obtained for the total energy is -2.587 eV per atom.

Cell lengths 4.7138, 4.7138, 4.7138 Å; angles 60.00, 60.00, 60.00 degrees
Fractional positions:
Hg 0.2500 0.2500 0.2500
Se 0.0000 0.0000 0.0000
Al 0.5000 0.5000 0.5000

***

Density functional theory data (GGA-PBEsol) for a relaxed structure of Sr2SeS.

Calculated values
The value obtained for the relative energy among the computed polymorphs is 327.2 meV/atom. The value obtained for the total energy is -4.773 eV per atom.

Cell lengths 6.7940, 6.7940, 8.1519 Å; angles 114.63, 114.63, 90.00 degrees
Fractional positions:
S 0.7500 0.2500 0.5000
S 0.5000 0.5000 0.0000
Se 0.0000 0.0000 0.0000
Se 0.2500 0.7500 0.5000
Sr 0.6250 0.6099 0.7500
Sr 0.1250 0.1401 0.7500
Sr 0.3901 0.8750 0.2500
Sr 0.8599 0.3750 0.2500

***

Density functional theory data (GGA-PBEsol) for a relaxed structure of CoNiGeAs2.

Calculated values
The calculation puts the formation energy at 0.541 eV per atom. The value obtained for the total energy is -5.268 eV per atom.

Cell lengths 4.2982, 4.2982, 4.6441 Å; angles 90.00, 90.00, 90.00 degrees
Each line ends with the local moment (μB).
Fractional positions:
Co 0.0000 0.0000 0.0000  0.05
As 0.5000 0.0000 0.0000  0.00
As 0.0000 0.5000 0.0000  0.00
Ge 0.5000 0.5000 0.5000  0.00
Ni 0.0000 0.0000 0.5000  0.14

***

Density functional theory data (GGA-PBEsol) for a relaxed structure of CuNiS3.

Calculated values
The value obtained for the total energy is -4.114 eV per atom.

Cell lengths 4.3661, 4.3661, 4.3661 Å; angles 90.00, 90.00, 90.00 degrees
Fractional positions:
Ni 0.0000 0.0000 0.0000
S 0.0000 0.0000 0.5000
S 0.0000 0.5000 0.0000
S 0.5000 0.0000 0.0000
Cu 0.5000 0.5000 0.5000